(1)
Entry from OQMD via LeMat-Bulk: an optimized crystal structure of KTmCdS3 (PBE).

a = 8.716 Å, b = 8.716 Å, c = 8.921 Å
α = 103.23°, β = 103.23°, γ = 26.55°
Fractional positions:
1 K 0.145 0.145 0.066
2 K 0.855 0.855 0.934
3 Tm 0.171 0.171 0.584
4 Tm 0.829 0.829 0.416
5 Cd 0.494 0.494 0.279
6 Cd 0.506 0.506 0.721
7 S 0.000 0.000 0.500
8 S 0.333 0.333 0.627
9 S 0.334 0.334 0.219
10 S 0.500 0.500 0.000
11 S 0.666 0.666 0.781
12 S 0.667 0.667 0.373

Results
**Size of the total moment**: 0.000 μB/cell
**Crystal system**: monoclinic

***

(2)
Entry from OQMD via LeMat-Bulk: an optimized crystal structure of K2CdWS4 (PBE).

a = 6.762 Å, b = 6.762 Å, c = 7.689 Å
α = 124.52°, β = 124.52°, γ = 72.87°
Fractional positions:
1 K 0.000 0.000 0.000
2 K 0.747 0.253 0.500
3 Cd 0.246 0.754 0.500
4 W 0.500 0.500 0.000
5 S 0.193 0.499 0.659
6 S 0.468 0.159 0.967
7 S 0.501 0.807 0.341
8 S 0.841 0.532 0.033

Results
**Size of the total moment**: 0.002 μB/cell
**Crystal system**: monoclinic

***

(3)
Entry from OQMD via LeMat-Bulk: an optimized crystal structure of KZrCdS3 (PBE).

a = 8.210 Å, b = 3.790 Å, c = 10.247 Å
α = 90.00°, β = 104.84°, γ = 90.00°
Fractional positions:
1 K 0.221 0.250 0.265
2 K 0.779 0.750 0.735
3 Zr 0.352 0.750 0.846
4 Zr 0.648 0.250 0.154
5 Cd 0.121 0.250 0.580
6 Cd 0.879 0.750 0.420
7 S 0.129 0.250 0.840
8 S 0.353 0.750 0.605
9 S 0.422 0.750 0.114
10 S 0.578 0.250 0.886
11 S 0.647 0.250 0.395
12 S 0.871 0.750 0.160

Results
**Size of the total moment**: 0.004 μB/cell
**Crystal system**: monoclinic

***

(4)
Entry from OQMD via LeMat-Bulk: an optimized crystal structure of K5CdSb2 (PBE).

a = 10.480 Å, b = 10.480 Å, c = 10.480 Å
α = 33.76°, β = 33.76°, γ = 33.76°
Fractional positions:
1 K 0.000 0.000 0.000
2 K 0.126 0.126 0.126
3 K 0.280 0.280 0.280
4 K 0.720 0.720 0.720
5 K 0.874 0.874 0.874
6 Cd 0.500 0.500 0.500
7 Sb 0.405 0.405 0.405
8 Sb 0.595 0.595 0.595

Results
**Crystal system**: trigonal

***

(5)
Entry from OQMD via LeMat-Bulk: an optimized crystal structure of KCd2Sb2 (PBE).

a = 7.634 Å, b = 7.634 Å, c = 7.634 Å
α = 143.81°, β = 143.81°, γ = 52.11°
Fractional positions:
1 K 0.000 0.000 0.000
2 Cd 0.250 0.750 0.500
3 Cd 0.750 0.250 0.500
4 Sb 0.380 0.380 0.000
5 Sb 0.620 0.620 0.000

Results
**Crystal system**: tetragonal

***

(6)
Entry from OQMD via LeMat-Bulk: an optimized crystal structure of K11Cd2Sb5 (PBE).

a = 9.982 Å, b = 12.064 Å, c = 12.913 Å
α = 103.51°, β = 97.25°, γ = 107.57°
Fractional positions:
1 K 0.050 0.206 0.269
2 K 0.124 0.405 0.017
3 K 0.143 0.926 0.037
4 K 0.204 0.058 0.572
5 K 0.204 0.580 0.571
6 K 0.306 0.394 0.777
7 K 0.350 0.912 0.790
8 K 0.365 0.826 0.440
9 K 0.368 0.335 0.470
10 K 0.393 0.748 0.141
11 K 0.414 0.273 0.136
12 K 0.586 0.727 0.864
13 K 0.607 0.252 0.859
14 K 0.632 0.665 0.530
15 K 0.635 0.174 0.560
16 K 0.650 0.088 0.210
17 K 0.694 0.606 0.223
18 K 0.796 0.420 0.429
19 K 0.796 0.942 0.428
20 K 0.857 0.074 0.963
21 K 0.876 0.595 0.983
22 K 0.950 0.794 0.731
23 Cd 0.054 0.542 0.282
24 Cd 0.054 0.875 0.285
25 Cd 0.946 0.125 0.715
26 Cd 0.946 0.458 0.718
27 Sb 0.002 0.265 0.553
28 Sb 0.191 0.132 0.866
29 Sb 0.193 0.648 0.867
30 Sb 0.338 0.527 0.299
31 Sb 0.340 0.045 0.308
32 Sb 0.660 0.955 0.692
33 Sb 0.662 0.473 0.701
34 Sb 0.807 0.352 0.133
35 Sb 0.809 0.868 0.134
36 Sb 0.998 0.735 0.447

Results
**Crystal system**: triclinic

***

(7)
Entry from OQMD via LeMat-Bulk: an optimized crystal structure of KScCdSe3 (PBE).

a = 9.072 Å, b = 9.072 Å, c = 9.127 Å
α = 102.25°, β = 102.25°, γ = 25.66°
Fractional positions:
1 K 0.145 0.145 0.066
2 K 0.855 0.855 0.934
3 Sc 0.177 0.177 0.583
4 Sc 0.823 0.823 0.417
5 Cd 0.488 0.488 0.281
6 Cd 0.512 0.512 0.719
7 Se 0.000 0.000 0.500
8 Se 0.330 0.330 0.223
9 Se 0.331 0.331 0.624
10 Se 0.500 0.500 0.000
11 Se 0.669 0.669 0.376
12 Se 0.670 0.670 0.777

Results
**Size of the total moment**: 0.002 μB/cell
**Crystal system**: monoclinic

***

(8)
Entry from OQMD via LeMat-Bulk: an optimized crystal structure of KScCdSe3 (PBE).

a = 8.495 Å, b = 4.094 Å, c = 10.387 Å
α = 90.00°, β = 109.68°, γ = 90.00°
Fractional positions:
1 K 0.239 0.250 0.259
2 K 0.761 0.750 0.741
3 Sc 0.327 0.750 0.874
4 Sc 0.673 0.250 0.126
5 Cd 0.084 0.250 0.616
6 Cd 0.916 0.750 0.384
7 Se 0.103 0.250 0.871
8 Se 0.251 0.750 0.558
9 Se 0.464 0.750 0.141
10 Se 0.536 0.250 0.859
11 Se 0.749 0.250 0.442
12 Se 0.897 0.750 0.129

Results
**Size of the total moment**: 0.004 μB/cell
**Crystal system**: monoclinic

***

(9)
Entry from OQMD via LeMat-Bulk: an optimized crystal structure of KCdSe (PBE).

a = 4.464 Å, b = 8.592 Å, c = 8.592 Å
α = 119.92°, β = 90.00°, γ = 90.00°
Fractional positions:
1 K 0.000 0.000 0.000
2 K 0.000 0.315 0.658
3 K 0.000 0.658 0.315
4 Cd 0.500 0.324 0.991
5 Cd 0.500 0.658 0.658
6 Cd 0.500 0.991 0.324
7 Se 0.500 0.353 0.353
8 Se 0.500 0.658 0.962
9 Se 0.500 0.962 0.658

Results
**Crystal system**: orthorhombic

***

(10)
Entry from OQMD via LeMat-Bulk: an optimized crystal structure of KSmCdSe3 (PBE).

a = 8.619 Å, b = 4.288 Å, c = 10.541 Å
α = 90.00°, β = 107.54°, γ = 90.00°
Fractional positions:
1 K 0.250 0.250 0.231
2 K 0.750 0.750 0.769
3 Sm 0.187 0.750 0.630
4 Sm 0.813 0.250 0.370
5 Cd 0.418 0.250 0.888
6 Cd 0.582 0.750 0.112
7 Se 0.037 0.750 0.350
8 Se 0.261 0.750 0.945
9 Se 0.427 0.250 0.642
10 Se 0.573 0.750 0.358
11 Se 0.739 0.250 0.055
12 Se 0.963 0.250 0.650

Results
**Size of the total moment**: 0.002 μB/cell
**Crystal system**: monoclinic

***

no.,E_tot (eV per atom)
1,-4.515
2,-4.792
3,-4.999
4,-2.168
5,-2.468
6,-2.360
7,-4.324
8,-4.364
9,-2.393
10,-4.190